[1]
Density functional theory data (PBE) for a relaxed YThGaAg crystal.

a b c (Å): 5.2125 5.2125 5.2125
angles (deg): 60.00 60.00 60.00
Closest atoms and distances in Å follow each position.
Atoms (fractional coordinates):
1 Y 0.0000 0.0000 0.0000  4 Ag 3.19, 4 Ga 3.19
2 Th 0.5000 0.5000 0.5000  4 Ga 3.19, 4 Ag 3.19
3 Ga 0.7500 0.7500 0.7500  4 Th 3.19, 4 Y 3.19
4 Ag 0.2500 0.2500 0.2500  4 Th 3.19, 4 Y 3.19

Total energy: -5.26 eV/atom
Theoretical density: 8.3 Mg/m³
Energy of formation: -321 meV/atom
SG: F-43m (216)

=====

[2]
Density functional theory data (PBE) for a relaxed RbLa2Re crystal.

a b c (Å): 5.3850 5.3850 5.3850
angles (deg): 60.00 60.00 60.00
Closest atoms and distances in Å follow each position.
Atoms (fractional coordinates):
1 Rb 0.0000 0.0000 0.0000  8 La 3.30
2 La 0.2500 0.2500 0.2500  4 Re 3.30, 4 Rb 3.30
3 La 0.7500 0.7500 0.7500  4 Re 3.30, 4 Rb 3.30
4 Re 0.5000 0.5000 0.5000  8 La 3.30

Total energy: -5.00 eV/atom
Theoretical density: 8.3 Mg/m³
Energy of formation: 814 meV/atom
SG: Fm-3m (225)

=====

[3]
Density functional theory data (PBE) for a relaxed RbTaMo3 crystal.

a b c (Å): 4.9954 4.9954 4.9954
angles (deg): 90.00 90.00 90.00
Closest atoms and distances in Å follow each position.
Atoms (fractional coordinates):
1 Rb 0.0000 0.0000 0.0000  12 Mo 3.53
2 Ta 0.5000 0.5000 0.5000  6 Mo 2.50
3 Mo 0.0000 0.5000 0.5000  2 Ta 2.50
4 Mo 0.5000 0.0000 0.5000  2 Ta 2.50
5 Mo 0.5000 0.5000 0.0000  2 Ta 2.50

Total energy: -7.03 eV/atom
Theoretical density: 7.4 Mg/m³
Energy of formation: 2030 meV/atom
SG: Pm-3m (221)

=====

[4]
Density functional theory data (PBE) for a relaxed LiGa2Ni2 crystal.

a b c (Å): 5.0652 5.0652 5.0652
angles (deg): 128.50 128.50 75.82
Closest atoms and distances in Å follow each position.
Atoms (fractional coordinates):
1 Li 0.0000 0.0000 0.0000  2 Ni 2.86, 8 Ga 2.97
2 Ga 0.2500 0.7500 0.5000  4 Ni 2.36
3 Ga 0.7500 0.2500 0.5000  4 Ni 2.36
4 Ni 0.3580 0.3580 0.0000  1 Ni 2.27, 4 Ga 2.36
5 Ni 0.6420 0.6420 0.0000  1 Ni 2.27, 4 Ga 2.36

Total energy: -4.05 eV/atom
Theoretical density: 5.7 Mg/m³
Energy of formation: -141 meV/atom
SG: I4/mmm (139)

=====

[5]
Density functional theory data (PBE) for a relaxed BiSb3 crystal.

a b c (Å): 4.4100 6.3355 4.7124
angles (deg): 90.00 90.00 90.00
Closest atoms and distances in Å follow each position.
Atoms (fractional coordinates):
1 Bi 0.0000 0.0000 0.0000  4 Sb 2.99-3.19
2 Sb 0.0000 0.5000 0.0883  2 Sb 2.93, 2 Bi 3.19
3 Sb 0.5000 0.0000 0.5702  2 Bi 2.99, 2 Sb 3.19
4 Sb 0.5000 0.5000 0.4982  4 Sb 2.93-3.19

Total energy: -4.05 eV/atom
Raw formation energy: 0.03 eV/f.u.
Theoretical density: 7.2 Mg/m³
SG: Pmm2 (25)

=====

[6]
Density functional theory data (PBE) for a relaxed ZnFe2Ir6 crystal.

a b c (Å): 8.1142 8.1142 3.8261
angles (deg): 90.00 90.00 90.00
Closest atoms and distances in Å follow each position.
Atoms (fractional coordinates):
1 Zn 0.0000 0.0000 0.0000  8 Ir 2.70-2.72, 4 Fe 2.76
2 Zn 0.5000 0.5000 0.5000  8 Ir 2.70-2.72, 4 Fe 2.76
3 Fe 0.1733 0.1733 0.5000  10 Ir 2.64-2.77, 2 Zn 2.76
4 Fe 0.3267 0.6733 0.0000  10 Ir 2.64-2.77, 2 Zn 2.76
5 Fe 0.6733 0.3267 0.0000  10 Ir 2.64-2.77, 2 Zn 2.76
6 Fe 0.8267 0.8267 0.5000  10 Ir 2.64-2.77, 2 Zn 2.76
7 Ir 0.0039 0.3333 0.0000  8 Ir 2.66-2.72, 3 Fe 2.68-2.69, 1 Zn 2.70
8 Ir 0.1667 0.5039 0.5000  8 Ir 2.66-2.72, 3 Fe 2.68-2.69, 1 Zn 2.70
9 Ir 0.1684 0.8316 0.5000  4 Fe 2.64-2.77, 6 Ir 2.66-2.72, 2 Zn 2.72
10 Ir 0.3316 0.3316 0.0000  4 Fe 2.64-2.77, 6 Ir 2.66-2.72, 2 Zn 2.72
11 Ir 0.3333 0.0039 0.0000  8 Ir 2.66-2.72, 3 Fe 2.68-2.69, 1 Zn 2.70
12 Ir 0.4961 0.8333 0.5000  8 Ir 2.66-2.72, 3 Fe 2.68-2.69, 1 Zn 2.70
13 Ir 0.5039 0.1667 0.5000  8 Ir 2.66-2.72, 3 Fe 2.68-2.69, 1 Zn 2.70
14 Ir 0.6667 0.9961 0.0000  8 Ir 2.66-2.72, 3 Fe 2.68-2.69, 1 Zn 2.70
15 Ir 0.6684 0.6684 0.0000  4 Fe 2.64-2.77, 6 Ir 2.66-2.72, 2 Zn 2.72
16 Ir 0.8316 0.1684 0.5000  4 Fe 2.64-2.77, 6 Ir 2.66-2.72, 2 Zn 2.72
17 Ir 0.8333 0.4961 0.5000  8 Ir 2.66-2.72, 3 Fe 2.68-2.69, 1 Zn 2.70
18 Ir 0.9961 0.6667 0.0000  8 Ir 2.66-2.72, 3 Fe 2.68-2.69, 1 Zn 2.70

Total energy: -7.97 eV/atom
Theoretical density: 17.5 Mg/m³
Energy of formation: -40 meV/atom
SG: P4_2/mnm (136)

=====

[7]
Density functional theory data (PBE) for a relaxed BaRhAu2I crystal.

a b c (Å): 5.1029 5.1029 6.2326
angles (deg): 90.00 90.00 90.00
Closest atoms and distances in Å follow each position.
Atoms (fractional coordinates):
1 Ba 0.0000 0.0000 0.0000  2 Rh 3.12
2 Rh 0.0000 0.0000 0.5000  4 Au 2.55
3 Au 0.0000 0.5000 0.5000  2 Rh 2.55
4 Au 0.5000 0.0000 0.5000  2 Rh 2.55
5 I 0.5000 0.5000 0.0000  4 Ba 3.61, 8 Au 4.03

Total energy: -3.56 eV/atom
Raw formation energy: -0.43 eV/f.u.
Theoretical density: 7.8 Mg/m³
SG: P4/mmm (123)

=====

[8]
Density functional theory data (PBE) for a relaxed Tl2CrBr5 crystal.

a b c (Å): 7.2468 7.2468 7.2468
angles (deg): 115.42 115.42 98.13
Closest atoms and distances in Å follow each position.
Atoms (fractional coordinates):
1 Tl 0.0000 0.5000 0.5000  4 Br 3.41
2 Tl 0.5000 0.0000 0.5000  4 Br 3.41
3 Cr 0.2514 0.2514 0.0000  5 Br 2.36-2.48
4 Br 0.0027 0.0027 0.0000  1 Cr 2.36
5 Br 0.0628 0.0628 0.5509  1 Cr 2.48
6 Br 0.0628 0.5119 0.0000  1 Cr 2.48
7 Br 0.5119 0.0628 0.0000  1 Cr 2.48
8 Br 0.5119 0.5119 0.4491  1 Cr 2.48

Total energy: -3.61 eV/atom
Raw formation energy: -6.13 eV/f.u.
Theoretical density: 5.0 Mg/m³
SG: I4mm (107)

=====

In order of appearance, magnetic moment = 0.554, 0.000, 2.688, 0.000, 0.000, 10.391, 1.137, 3.000 μB/cell.